## Ga2Ir2O7 (PBE)

Data for a relaxed Ga2Ir2O7 crystal.

Cell lengths 6.962, 6.962, 6.962 Å; angles 60.00, 60.00, 60.00 degrees
Fractional coordinates of all 22 atoms:
Ga 0.000 0.000 0.000
Ga 0.000 0.000 0.500
Ga 0.000 0.500 0.000
Ga 0.500 0.000 0.000
Ir 0.000 0.500 0.500
Ir 0.500 0.000 0.500
Ir 0.500 0.500 0.000
Ir 0.500 0.500 0.500
O 0.125 0.125 0.125
O 0.154 0.154 0.596
O 0.154 0.596 0.154
O 0.154 0.596 0.596
O 0.404 0.404 0.846
O 0.404 0.846 0.404
O 0.404 0.846 0.846
O 0.596 0.154 0.154
O 0.596 0.154 0.596
O 0.596 0.596 0.154
O 0.846 0.404 0.404
O 0.846 0.404 0.846
O 0.846 0.846 0.404
O 0.875 0.875 0.875

crystal system	cubic
uncorrected energy	-6.344	eV per atom
symmetry	No. 227


## Al2Pt3Au (PBE)

Data for a relaxed Al2Pt3Au crystal.

Cell lengths 7.311, 7.311, 2.876 Å; angles 90.00, 90.00, 142.65 degrees
Fractional coordinates of all 6 atoms:
Al 0.159 0.841 0.000
Al 0.841 0.159 0.000
Pt 0.000 0.000 0.500
Pt 0.314 0.686 0.500
Pt 0.686 0.314 0.500
Au 0.500 0.500 0.000

crystal system	orthorhombic
ΔH_f (0 K)	-684	meV/atom
symmetry	No. 65


## NbIrAu (PBE)

Data for a relaxed NbIrAu crystal.

Cell lengths 7.616, 7.616, 7.616 Å; angles 159.12, 159.12, 29.70 degrees
Fractional coordinates of all 3 atoms:
Nb 0.000 0.000 0.000
Ir 0.838 0.838 0.000
Au 0.187 0.187 0.000

crystal system	tetragonal
ΔE to the lowest computed polymorph	626.1	meV per atom
ΔH_f (0 K)	512	meV/atom
symmetry	No. 107


## CoAuIN2 (PBE)

Data for a relaxed CoAuIN2 crystal.

Cell lengths 3.715, 3.715, 8.062 Å; angles 90.00, 90.00, 90.00 degrees
Fractional coordinates of all 5 atoms:
Co 0.000 0.000 0.000
Au 0.500 0.500 0.500
I 0.000 0.000 0.500
N 0.000 0.500 0.000
N 0.500 0.000 0.000

crystal system	tetragonal
ΔE to the lowest computed polymorph	0.0	meV per atom
symmetry	No. 123